Record 1
First-principles (PBE-GGA) data for crystalline Tl2SiSnTe4 at its relaxed geometry, as listed in Alexandria.

Geometry as extended XYZ:
```
16
Lattice="-5.4524 -2.3196 3.2541 -1.3200 -6.2646 -6.6773 5.9570 -6.7588 5.1634" Properties=species:S:1:pos:R:3 pbc="T T T"
Te -2.3130 -1.6086 0.5628
Te -1.4612 -7.6329 -1.9997
Te 0.8983 -10.3099 0.0455
Te -6.0943 -7.4652 -2.7408
Te -4.1798 -5.1165 2.2605
Te 0.5460 -5.2448 2.9463
Te -3.0915 -11.0402 -0.4431
Te -0.5823 -9.1982 5.3788
Sn -2.5741 -6.8678 4.4214
Sn -3.6250 -6.1191 -3.8275
Tl -1.5592 -11.2321 2.4640
Tl -4.3696 -8.0434 0.0279
Tl 1.7417 -8.3328 3.0399
Tl -1.4048 -4.7628 0.3125
Si -1.0110 -10.0913 -1.6014
Si -0.2619 -0.7998 -0.7447
```

space-group type	Pmn2_1, No. 31
N(E_F)	0.03	states/eV/f.u.
formation energy from raw total energies	-173	meV per atom


Record 2
First-principles (PBE-GGA) data for crystalline Tb14TmTh at its relaxed geometry, as listed in Alexandria.

Geometry as extended XYZ:
```
16
Lattice="7.0523 0.9451 0.0000 -0.9472 7.0520 0.0000 0.0000 0.0000 10.0584" Properties=species:S:1:pos:R:3 pbc="T T T"
Tb 0.5162 2.7494 2.4948
Tb 3.5890 6.7745 7.5636
Tb 0.0393 6.2989 7.5635
Tb 2.5260 1.2358 5.0292
Tb 2.5266 1.2363 0.0000
Tb 3.5890 6.7745 2.4948
Tb 4.0659 3.2250 2.4950
Tb 6.0523 1.7086 5.0292
Tb 0.5162 2.7494 7.5636
Tb 0.0393 6.2989 2.4948
Tb 5.5785 5.2340 0.0000
Tb 4.0659 3.2250 7.5633
Tb 2.0526 4.7619 5.0292
Tb 5.5789 5.2347 5.0292
Th 6.0527 1.7082 0.0000
Tm 2.0524 4.7621 0.0000
```

space-group type	P4/mmm, No. 123
formation energy from the elements	16.4	meV per atom
N(E_F)	19.35	states/eV/f.u.


Record 3
First-principles (PBE-GGA) data for crystalline Ba2Na2Ga at its relaxed geometry, as listed in Alexandria.

Geometry as extended XYZ:
```
5
Lattice="4.1545 0.0000 -0.6666 -0.1070 4.1532 -0.6666 -0.2376 -0.2438 11.7991" Properties=species:S:1:pos:R:3 pbc="T T T"
Ba 1.4893 1.5282 9.2823
Ba 2.3206 2.3812 1.1836
Na 0.7482 0.7677 4.6630
Na 3.0618 3.1417 5.8029
Ga 0.0000 0.0000 0.0000
```

space-group type	I4/mmm, No. 139
ΔE to the lowest computed polymorph	0	meV/atom
formation energy from the elements	-162.5	meV per atom
N(E_F)	3.46	states/eV/f.u.